ZrVS2I PBE optimized geometry; space-group type = P4/mmm (123); uncorrected energy = -26.5 eV per cell; total magnetic moment = 0.5 μB per cell; ΔE_f (raw) = 0.189 eV/atom
1.0
4.914 0.000 0.000
0.000 5.863 0.000
0.000 0.000 4.914
I S V Zr
1 2 1 1
Direct
0.000 0.500 0.000 I
0.000 0.000 0.500 S
0.500 0.000 0.000 S
0.500 0.500 0.500 V
0.000 0.000 0.000 Zr